A:
Compound: BaMo3
Source: Alexandria
Functional: GGA-PBE
Structure: relaxed

Lattice parameters (Å, degrees): 4.781 4.781 4.781 60.00 60.00 60.00
Positions (direct):
Ba (0.000, 0.000, 0.000)
Mo (0.250, 0.250, 0.250)
Mo (0.500, 0.500, 0.500)
Mo (0.750, 0.750, 0.750)

Density   9.1 Mg/m³
Crystal system   cubic
Volume   77.26 Å³ per cell

---

B:
Compound: BaMo3
Source: Alexandria
Functional: GGA-PBE
Structure: relaxed

Lattice parameters (Å, degrees): 3.102 4.145 7.501 90.00 101.26 90.00
Positions (direct):
Ba (0.000, 0.000, 0.000)
Mo (0.220, 0.500, 0.649)
Mo (0.500, 0.000, 0.500)
Mo (0.780, 0.500, 0.351)

Density   7.5 Mg/m³
Crystal system   monoclinic
Volume   94.58 Å³ per cell

---

C:
Compound: BaMo3
Source: Alexandria
Functional: GGA-PBE
Structure: relaxed

Lattice parameters (Å, degrees): 5.102 5.102 6.397 103.75 103.75 37.74
Positions (direct):
Ba (0.000, 0.000, 0.000)
Mo (0.211, 0.211, 0.621)
Mo (0.500, 0.500, 0.500)
Mo (0.789, 0.789, 0.379)

Density   7.2 Mg/m³
Crystal system   monoclinic
Volume   98.65 Å³ per cell

---

Quick ranking, most stable first: B, C, A.